## NdDy2ErP4 (GGA-PBE)

Data for an optimized crystal structure of NdDy2ErP4.

Values from the calculation:
Fermi-level density of states ... 0.758 states/eV/cell
Total energy ... -6.605 eV/atom

The structure in CIF format:
```
data_NdDy2ErP4
_chemical_formula_sum 'Nd1 Dy2 Er1 P4'
_space_group_name_H-M_alt 'P 1 2/m 1'
_space_group_IT_number 10
_cell_length_a 6.994
_cell_length_b 4.041
_cell_length_c 6.995
_cell_angle_alpha 90.00
_cell_angle_beta 109.46
_cell_angle_gamma 90.00
loop_
_space_group_symop_operation_xyz
'x,y,z'
'-x,-y,-z'
'-x,y,-z'
'x,-y,z'
loop_
_atom_site_label
_atom_site_type_symbol
_atom_site_fract_x
_atom_site_fract_y
_atom_site_fract_z
Nd1 Nd 0.000 0.000 0.000
Dy1 Dy 0.000 0.500 0.500
Dy2 Dy 0.500 0.000 0.500
Er1 Er 0.500 0.500 0.000
P1 P 0.255 0.000 0.748
P2 P 0.257 0.500 0.256
```